1.
Compound: CeYZn2
Source: Alexandria via LeMat-Bulk
Functional: PBE
Structure: optimized geometry

Computed properties:
ΔH_f (0 K), meV/atom: -259
VASP energy, eV per atom: -3.996
Size of the total moment, μB/f.u.: 0.98

Lattice parameters (Å, degrees): 5.0996 5.0996 5.0996 60.00 60.00 60.00
Last column: nearest neighbours and their distance in Å.
Sites, in units of the cell vectors:
Zn 0.7500 0.7500 0.7500  4 Y 3.12, 4 Ce 3.12
Zn 0.2500 0.2500 0.2500  4 Ce 3.12, 4 Y 3.12
Ce 0.0000 0.0000 0.0000  8 Zn 3.12
Y 0.5000 0.5000 0.5000  8 Zn 3.12

***

2.
Compound: NaSr2ZnPb
Source: Alexandria via LeMat-Bulk
Functional: PBE
Structure: optimized geometry

Computed properties:
ΔH_f (0 K), meV/atom: 46
VASP energy, eV per atom: -1.887
Size of the total moment, μB/f.u.: 0.00

Lattice parameters (Å, degrees): 6.5434 5.2658 6.5434 90.00 90.00 90.00
Last column: nearest neighbours and their distance in Å.
Sites, in units of the cell vectors:
Zn 0.0000 0.5000 0.0000  2 Pb 2.63
Sr 0.0000 0.0000 0.5000  2 Pb 3.27
Sr 0.5000 0.0000 0.0000  2 Pb 3.27
Pb 0.0000 0.0000 0.0000  2 Zn 2.63
Na 0.5000 0.5000 0.5000  8 Sr 4.20, 4 Zn 4.63

***

3.
Compound: Ag2Bi2Sb
Source: Alexandria via LeMat-Bulk
Functional: PBE
Structure: optimized geometry

Computed properties:
VASP energy, eV per atom: -3.359
Uncorrected formation energy, eV/atom: 0.158
Size of the total moment, μB/f.u.: 0.00

Lattice parameters (Å, degrees): 8.9551 8.9551 3.3130 90.00 90.00 90.00
Last column: nearest neighbours and their distance in Å.
Sites, in units of the cell vectors:
Ag 0.3881 0.1119 0.5000  1 Ag 2.83, 2 Bi 3.05
Ag 0.1119 0.6119 0.5000  1 Ag 2.83, 2 Bi 3.05
Ag 0.6119 0.8881 0.5000  1 Ag 2.83, 2 Bi 3.05
Ag 0.8881 0.3881 0.5000  1 Ag 2.83, 2 Bi 3.05
Sb 0.0000 0.0000 0.0000  4 Bi 3.27, 2 Sb 3.31
Sb 0.5000 0.5000 0.0000  4 Bi 3.27, 2 Sb 3.31
Bi 0.6862 0.1862 0.0000  6 Ag 3.05-3.21, 2 Sb 3.27, 2 Bi 3.31
Bi 0.3138 0.8138 0.0000  6 Ag 3.05-3.21, 2 Sb 3.27, 2 Bi 3.31
Bi 0.1862 0.3138 0.0000  6 Ag 3.05-3.21, 2 Sb 3.27, 2 Bi 3.31
Bi 0.8138 0.6862 0.0000  6 Ag 3.05-3.21, 2 Sb 3.27, 2 Bi 3.31

***

4.
Compound: AcSbAu
Source: Alexandria via LeMat-Bulk
Functional: PBE
Structure: optimized geometry

Computed properties:
VASP energy, eV per atom: -4.456
Uncorrected formation energy, eV/atom: -0.620
Size of the total moment, μB/f.u.: 0.00

Lattice parameters (Å, degrees): 3.9305 3.9305 6.2960 108.19 108.19 90.00
Last column: nearest neighbours and their distance in Å.
Sites, in units of the cell vectors:
Ac 0.0157 0.0157 0.0313  4 Au 3.28, 5 Sb 3.37-3.59
Sb 0.3142 0.3142 0.6284  4 Au 3.22, 5 Ac 3.37-3.59
Au 0.6701 0.6701 0.3402  4 Sb 3.22, 4 Ac 3.28

***

5.
Compound: NaSn2Pb2
Source: Alexandria via LeMat-Bulk
Functional: PBE
Structure: optimized geometry

Computed properties:
ΔH_f (0 K), meV/atom: 17
VASP energy, eV per atom: -3.332
Size of the total moment, μB/f.u.: 0.00

Lattice parameters (Å, degrees): 4.6447 4.6447 8.4039 73.96 73.96 90.00
Last column: nearest neighbours and their distance in Å.
Sites, in units of the cell vectors:
Pb 0.6071 0.6071 0.7858  4 Sn 3.21, 1 Pb 3.31
Pb 0.3929 0.3929 0.2142  4 Sn 3.21, 1 Pb 3.31
Na 0.0000 0.0000 0.0000  8 Pb 3.68
Sn 0.7500 0.2500 0.5000  4 Pb 3.21, 4 Sn 3.28
Sn 0.2500 0.7500 0.5000  4 Pb 3.21, 4 Sn 3.28

***

6.
Compound: Ca2CdGaS
Source: Alexandria via LeMat-Bulk
Functional: PBE
Structure: optimized geometry

Computed properties:
VASP energy, eV per atom: -2.939
Uncorrected formation energy, eV/atom: -0.524
Size of the total moment, μB/f.u.: 0.00

Lattice parameters (Å, degrees): 5.2749 5.1929 5.2749 90.00 90.00 90.00
Last column: nearest neighbours and their distance in Å.
Sites, in units of the cell vectors:
Cd 0.0000 0.5000 0.0000  2 S 2.60
Ca 0.0000 0.0000 0.5000  2 S 2.64
Ca 0.5000 0.0000 0.0000  2 S 2.64
Ga 0.5000 0.5000 0.5000  8 Ca 3.70, 4 Cd 3.73
S 0.0000 0.0000 0.0000  2 Cd 2.60, 4 Ca 2.64

***

7.
Compound: Mn2MoP
Source: Alexandria via LeMat-Bulk
Functional: PBE
Structure: optimized geometry

Computed properties:
ΔH_f (0 K), meV/atom: -6
VASP energy, eV per atom: -8.651
Size of the total moment, μB/f.u.: 0.00

Lattice parameters (Å, degrees): 2.7655 3.7347 4.7638 90.00 90.00 90.00
Last column: nearest neighbours and their distance in Å.
Sites, in units of the cell vectors:
P 0.5000 0.5000 0.7731  6 Mn 2.28-2.53
Mn 0.0000 0.0000 0.9811  2 Mo 2.32-2.45, 4 P 2.53
Mn 0.5000 0.5000 0.2514  2 P 2.28-2.48
Mo 0.0000 0.0000 0.4944  6 Mn 2.32-2.60

***

8.
Compound: NaSe4
Source: Alexandria via LeMat-Bulk
Functional: PBE
Structure: optimized geometry

Computed properties:
VASP energy, eV per atom: -2.151
Uncorrected formation energy, eV/atom: 0.901
Size of the total moment, μB/f.u.: 0.00

Lattice parameters (Å, degrees): 5.0890 5.0890 5.0890 90.00 90.00 90.00
Last column: nearest neighbours and their distance in Å.
Sites, in units of the cell vectors:
Na 0.5000 0.5000 0.5000  6 Se 2.54
Se 0.5000 0.5000 0.0000  2 Na 2.54
Se 0.0000 0.5000 0.5000  2 Na 2.54
Se 0.0000 0.0000 0.0000  12 Se 3.60
Se 0.5000 0.0000 0.5000  2 Na 2.54

***

9.
Compound: Ce2HoGa
Source: Alexandria via LeMat-Bulk
Functional: PBE
Structure: optimized geometry

Computed properties:
ΔH_f (0 K), meV/atom: -33
VASP energy, eV per atom: -4.901
Size of the total moment, μB/f.u.: 2.13

Lattice parameters (Å, degrees): 5.3187 5.3187 5.3187 60.00 60.00 60.00
Last column: nearest neighbours and their distance in Å.
Sites, in units of the cell vectors:
Ga 0.5000 0.5000 0.5000  8 Ce 3.26
Ho 0.0000 0.0000 0.0000  8 Ce 3.26
Ce 0.2500 0.2500 0.2500  4 Ho 3.26, 4 Ga 3.26
Ce 0.7500 0.7500 0.7500  4 Ga 3.26, 4 Ho 3.26

***

10.
Compound: InBiSCl2
Source: Alexandria via LeMat-Bulk
Functional: PBE
Structure: optimized geometry

Computed properties:
VASP energy, eV per atom: -3.078
Uncorrected formation energy, eV/atom: -0.190
Size of the total moment, μB/f.u.: 1.51

Lattice parameters (Å, degrees): 5.1357 5.1357 5.2502 90.00 90.00 90.00
Last column: nearest neighbours and their distance in Å.
Sites, in units of the cell vectors:
Cl 0.5000 0.0000 0.0000  2 In 2.57
Cl 0.0000 0.5000 0.0000  2 In 2.57
In 0.0000 0.0000 0.0000  4 Cl 2.57, 2 S 2.63
Bi 0.5000 0.5000 0.5000  4 S 3.63, 8 Cl 3.67
S 0.0000 0.0000 0.5000  2 In 2.63

***

11.
Compound: CuTcPt2
Source: Alexandria via LeMat-Bulk
Functional: PBE
Structure: optimized geometry

Computed properties:
ΔH_f (0 K), meV/atom: 84
VASP energy, eV per atom: -6.552
Size of the total moment, μB/f.u.: 1.08

Lattice parameters (Å, degrees): 5.3570 5.3570 5.3570 150.22 128.51 60.62
Last column: nearest neighbours and their distance in Å.
Sites, in units of the cell vectors:
Pt 0.0106 0.0106 0.0000  2 Cu 2.62, 4 Tc 2.71, 4 Pt 2.75-2.82
Pt 0.7441 0.2441 0.5000  2 Tc 2.69, 4 Cu 2.70, 4 Pt 2.75-2.82
Cu 0.2511 0.7511 0.5000  6 Pt 2.62-2.70, 2 Tc 2.64, 2 Cu 2.75
Tc 0.4942 0.4942 0.0000  2 Cu 2.64, 6 Pt 2.69-2.71, 2 Tc 2.75

***

12.
Compound: TiHg2Pb2
Source: Alexandria via LeMat-Bulk
Functional: PBE
Structure: optimized geometry

Computed properties:
ΔH_f (0 K), meV/atom: 296
VASP energy, eV per atom: -2.887
Size of the total moment, μB/f.u.: 1.74

Lattice parameters (Å, degrees): 7.6623 7.6623 4.4701 90.00 90.00 90.00
Last column: nearest neighbours and their distance in Å.
Sites, in units of the cell vectors:
Pb 0.3280 0.1720 0.5000  6 Hg 3.04-3.27
Pb 0.6720 0.8280 0.5000  6 Hg 3.04-3.27
Pb 0.1720 0.6720 0.5000  6 Hg 3.04-3.27
Pb 0.8280 0.3280 0.5000  6 Hg 3.04-3.27
Hg 0.1384 0.3616 0.0000  2 Ti 2.97, 1 Hg 3.00, 6 Pb 3.04-3.27
Hg 0.8616 0.6384 0.0000  2 Ti 2.97, 1 Hg 3.00, 6 Pb 3.04-3.27
Hg 0.3616 0.8616 0.0000  2 Ti 2.97, 1 Hg 3.00, 6 Pb 3.04-3.27
Hg 0.6384 0.1384 0.0000  2 Ti 2.97, 1 Hg 3.00, 6 Pb 3.04-3.27
Ti 0.0000 0.0000 0.0000  4 Hg 2.97
Ti 0.5000 0.5000 0.0000  4 Hg 2.97

***

13.
Compound: Ba2CdH6Os
Source: Alexandria via LeMat-Bulk
Functional: PBE
Structure: optimized geometry

Computed properties:
VASP energy, eV per atom: -3.949
Size of the total moment, μB/f.u.: 0.00

Lattice parameters (Å, degrees): 7.6921 5.3399 5.3399 120.00 90.00 90.00
Last column: nearest neighbours and their distance in Å.
Sites, in units of the cell vectors:
Ba 0.1791 0.3333 0.6667  9 H 2.70-2.87
Ba 0.8209 0.6667 0.3333  9 H 2.70-2.87
Os 0.0000 0.0000 0.0000  6 H 1.73
H 0.1264 0.3105 0.1552  1 Os 1.73
H 0.8736 0.1552 0.8448  1 Os 1.73
H 0.8736 0.1552 0.3105  1 Os 1.73
H 0.1264 0.8448 0.6895  1 Os 1.73
H 0.8736 0.6895 0.8448  1 Os 1.73
H 0.1264 0.8448 0.1552  1 Os 1.73
Cd 0.5000 0.0000 0.0000  6 H 3.21